No. 1
Here is crystalline Pr2NdSb3Rh4 at its relaxed geometry from Alexandria. Energies are from PBE.

```
10
Lattice="-1.7333 4.0350 -0.8315 -1.0581 -1.3079 -4.1409 -10.1894 -3.6059 3.7424" Properties=species:S:1:pos:R:3 pbc="T T T"
Rh 0.0000 0.0000 0.0000
Sb -1.8252 -1.1126 -1.5944
Rh -7.4750 -0.3211 2.0114
Rh -4.1102 -1.9212 -0.7552
Nd -6.4904 -0.4394 -0.6150
Sb -5.0947 -1.8029 1.8712
Pr -8.4555 -3.4590 0.8408
Rh -1.3957 1.3636 -2.4862
Sb -9.7599 -1.1297 2.8506
Pr -3.1296 1.2167 0.4154
```

## Properties
DFT total energy in eV/atom: -6.4295
Crystal system: tetragonal
Formation energy (no corrections) in meV/atom: -820
Magnetic moment in μB/f.u.: 0.00

=====

No. 2
Here is crystalline HoIrRh at its relaxed geometry from Alexandria. Energies are from PBE.

```
6
Lattice="5.3244 0.0000 0.0000 2.6622 4.6281 0.1276 2.6622 1.4355 4.4017" Properties=species:S:1:pos:R:3 pbc="T T T"
Rh 3.9933 2.3140 0.0638
Rh 3.9933 0.7178 2.2008
Ir 2.6622 0.0000 0.0000
Ho 6.6555 2.2663 1.6928
Ho 3.9933 3.7973 2.8365
Ir 0.0000 0.0000 0.0000
```

## Properties
Distance to the lowest polymorph of the same formula in meV/atom: 0
DFT total energy in eV/atom: -7.7217
Formation energy in kJ/mol of atoms: -76.4
Crystal system: orthorhombic
Magnetic moment in μB/f.u.: 0.00

=====

No. 3
Here is crystalline Ac2Mg3In4Ga at its relaxed geometry from Alexandria. Energies are from PBE.

```
10
Lattice="4.7881 0.0000 0.0000 0.0000 4.7881 0.0000 0.0000 0.0000 11.8613" Properties=species:S:1:pos:R:3 pbc="T T T"
Ac 2.3940 0.0000 3.0053
In 0.0000 2.3940 4.3462
In 2.3940 0.0000 7.5151
Ga 2.3940 2.3940 5.9307
In 0.0000 0.0000 0.0000
In 2.3940 2.3940 0.0000
Ac 0.0000 2.3940 8.8560
Mg 0.0000 2.3940 1.5960
Mg 2.3940 0.0000 10.2653
Mg 0.0000 0.0000 5.9307
```

## Properties
DFT total energy in eV/atom: -3.0184
Formation energy in kJ/mol of atoms: -30.9
Crystal system: tetragonal
Magnetic moment in μB/f.u.: 0.00

=====

No. 4
Here is crystalline MgBeO3 at its relaxed geometry from Alexandria. Energies are from PBE.

```
5
Lattice="3.7591 0.0000 0.0000 0.0000 3.7591 0.0000 0.0000 0.0000 3.7591" Properties=species:S:1:pos:R:3 pbc="T T T"
O 0.0000 1.8795 0.0000
O 1.8795 0.0000 0.0000
O 0.0000 0.0000 1.8795
Be 1.8795 1.8795 1.8795
Mg 0.0000 0.0000 0.0000
```

## Properties
DFT total energy in eV/atom: -4.3685
Crystal system: cubic
Formation energy (no corrections) in meV/atom: -329
Magnetic moment in μB/f.u.: 2.00

=====

No. 5
Here is crystalline LiSiMo2 at its relaxed geometry from Alexandria. Energies are from PBE.

```
4
Lattice="-2.1946 -0.8922 1.2501 0.5414 -2.4897 -0.8265 4.4956 -1.3278 6.9442" Properties=species:S:1:pos:R:3 pbc="T T T"
Si 0.2973 -2.0229 1.9479
Mo 2.1230 -0.6270 3.2793
Mo 0.1248 -0.0369 0.1928
Li 2.5451 -2.6868 5.4200
```

## Properties
DFT total energy in eV/atom: -7.0006
Crystal system: tetragonal
Formation energy (no corrections) in meV/atom: 249
Magnetic moment in μB/f.u.: 0.00

=====

No. 6
Here is crystalline Cs2AuF at its relaxed geometry from Alexandria. Energies are from PBE.

```
4
Lattice="-3.1595 1.5142 1.7882 -2.3228 -1.6289 -2.7248 -0.6627 -6.9718 4.7326" Properties=species:S:1:pos:R:3 pbc="T T T"
F -2.7412 -0.0573 -0.4683
Cs -0.1432 -1.5068 1.0229
Au -3.0725 -3.5432 1.8980
Cs -0.5195 -5.4649 3.7097
```

## Properties
Distance to the lowest polymorph of the same formula in meV/atom: 84
DFT total energy in eV/atom: -3.1003
Crystal system: tetragonal
Formation energy (no corrections) in meV/atom: -1386
Magnetic moment in μB/f.u.: 0.00

=====

No. 7
Here is crystalline ZrTiTe2I at its relaxed geometry from Alexandria. Energies are from PBE.

```
5
Lattice="5.3675 0.0000 0.0000 0.0000 5.3675 0.0000 0.0000 0.0000 5.3331" Properties=species:S:1:pos:R:3 pbc="T T T"
I 0.0000 0.0000 2.6666
Ti 0.0000 0.0000 0.0000
Zr 2.6838 2.6838 2.6666
Te 2.6838 0.0000 0.0000
Te 0.0000 2.6838 0.0000
```

## Properties
Distance to the lowest polymorph of the same formula in meV/atom: 0
DFT total energy in eV/atom: -4.6533
Crystal system: tetragonal
Formation energy (no corrections) in meV/atom: 202
Magnetic moment in μB/f.u.: 2.91

=====

No. 8
Here is crystalline Pm6CdPd at its relaxed geometry from Alexandria. Energies are from PBE.

```
8
Lattice="6.8180 0.8346 0.0000 2.4414 6.6024 0.0000 1.2207 3.3012 6.0566" Properties=species:S:1:pos:R:3 pbc="T T T"
Pm 4.7295 8.3054 3.6040
Pm 6.7603 5.4613 0.0000
Pm 3.5088 5.0042 2.4526
Pm 5.7507 2.4328 2.4526
Pd 4.6297 3.7185 0.0000
Cd 0.0000 0.0000 0.0000
Pm 2.4992 1.9756 0.0000
Pm 6.9714 5.7339 3.6040
```

## Properties
Distance to the lowest polymorph of the same formula in meV/atom: 186
DFT total energy in eV/atom: -4.3561
Formation energy in kJ/mol of atoms: -2.9
Crystal system: monoclinic
Magnetic moment in μB/f.u.: 0.45

=====

No. 9
Here is crystalline Tm2UN3 at its relaxed geometry from Alexandria. Energies are from PBE.

```
12
Lattice="-0.3721 3.3172 -0.2877 -5.1674 -1.9313 3.9238 6.7234 1.1725 4.8222" Properties=species:S:1:pos:R:3 pbc="T T T"
N 2.4890 0.8461 6.5358
Tm -2.4152 0.0132 3.2752
N -3.8904 1.6357 4.3825
Tm 3.5991 2.5453 5.1830
Tm 0.4513 0.3028 2.9075
N 5.0743 0.9228 4.0757
N -0.6940 0.3580 5.0247
N 1.8779 2.2004 3.4335
N -1.3051 1.7123 1.9225
U -0.1860 1.6586 -0.1439
Tm 0.7326 2.2556 5.5507
U 3.3617 0.5862 2.4111
```

## Properties
DFT total energy in eV/atom: -8.7797
Crystal system: monoclinic
Formation energy (no corrections) in meV/atom: -1245
Magnetic moment in μB/f.u.: 2.18

=====

No. 10
Here is crystalline CeAgSe2 at its relaxed geometry from Alexandria. Energies are from PBE.

```
4
Lattice="-0.1808 -4.3335 -1.0732 3.0485 -1.7471 -2.7600 5.5821 -3.7565 4.9269" Properties=species:S:1:pos:R:3 pbc="T T T"
Se 4.1355 -3.2157 2.9867
Ce 4.2249 -4.9185 0.5468
Se 4.3143 -6.6214 -1.8930
Ag 0.0000 0.0000 0.0000
```

## Properties
DFT total energy in eV/atom: -5.0233
Crystal system: trigonal
Formation energy (no corrections) in meV/atom: -1085
Magnetic moment in μB/f.u.: 1.00

=====

No. 11
Here is crystalline Ca3Si5Rh6 at its relaxed geometry from Alexandria. Energies are from PBE.

```
28
Lattice="-3.2213 -2.2378 0.4430 2.0197 -1.0315 9.4756 -6.8101 10.3125 2.5742" Properties=species:S:1:pos:R:3 pbc="T T T"
Si -3.1698 2.2380 5.8412
Rh -5.6359 8.5561 2.2399
Ca 0.5244 -0.2678 2.4604
Ca -1.1295 -0.3278 7.7160
Ca -1.8665 3.3337 3.2682
Rh -2.4176 4.6520 5.9197
Si -4.9291 8.4952 7.0718
Si -2.8884 6.0968 9.7951
Rh -0.5784 -1.6461 5.0645
Ca -3.5204 3.2737 8.5238
Rh -1.8650 1.2715 10.4471
Si 0.1738 0.7679 5.1430
Si -2.5079 0.5437 2.0964
Rh -1.1310 1.7344 0.5371
Rh -4.1702 4.7623 11.3185
Rh -1.4439 4.1547 10.4878
Si -4.8771 4.8232 6.4865
Si -0.4881 2.4621 8.8878
Rh -3.5486 6.5906 7.4891
Ca -3.9327 6.4625 4.0492
Si 1.8272 -0.9332 8.5726
Rh -2.1598 0.5226 4.5204
Si -6.9177 7.2215 3.7632
Rh -6.2575 6.7278 6.0693
Rh -1.5520 -1.1488 0.4964
Rh -0.8362 2.4832 6.4638
Ca -5.8735 6.8559 9.5092
Si -4.8232 3.9390 2.4116
```

## Properties
DFT total energy in eV/atom: -6.3944
Crystal system: orthorhombic
Formation energy (no corrections) in meV/atom: -878
Magnetic moment in μB/f.u.: 0.00

=====

No. 12
Here is crystalline SrInF at its relaxed geometry from Alexandria. Energies are from PBE.

```
6
Lattice="4.6237 0.0000 0.0000 2.3119 4.0043 0.0000 2.3119 1.3348 8.4609" Properties=species:S:1:pos:R:3 pbc="T T T"
Sr 4.6237 2.6695 6.8352
In 6.9356 4.0043 3.9147
Sr 4.6237 2.6695 1.6257
F 6.9356 4.0043 7.6797
F 2.3119 1.3348 0.7811
In 2.3119 1.3348 4.5462
```

## Properties
DFT total energy in eV/atom: -4.0804
Crystal system: trigonal
Formation energy (no corrections) in meV/atom: -1983
Magnetic moment in μB/f.u.: 0.00

=====

no.,N(E_F) (states/eV/atom)
1,0.885
2,0.817
3,0.382
4,0.493
5,0.449
6,0.000
7,1.323
8,1.434
9,0.730
10,1.656
11,0.316
12,0.321